NaIr3Os at its PBEsol-relaxed geometry, computed with SCAN.

Values from the calculation:
For the volume, the calculation gives 105.9 Å³/cell. As for the formation enthalpy at 0 K: 1.474 eV per atom. Its density of states at the Fermi level is 0.872 states/eV/atom. The space-group type is Pm-3m, No. 221. Its magnetization is 0.000 μB/f.u. As for the total energy: -56.405 eV/atom. As for the density: 12.38 g/cm³.

Cell: 4.731 4.731 4.731 Å, 90.00 90.00 90.00°
Fractional coordinates of all 5 atoms:
Na (0.000, 0.000, 0.000)
Ir (0.000, 0.500, 0.500)
Ir (0.500, 0.000, 0.500)
Ir (0.500, 0.500, 0.000)
Os (0.500, 0.500, 0.500)